No. 1
# MgAgHgPt PBE-GGA relaxed
# * calculated volume: 18.037 A^3/atom
# * uncorrected energy: -47.62 eV/cell
data_MgAgHgPt
_cell_length_a 6.608
_cell_length_b 6.608
_cell_length_c 6.608
_cell_angle_alpha 90.00
_cell_angle_beta 90.00
_cell_angle_gamma 90.00
_space_group_name_H-M_alt 'F -4 3 m'
_space_group_IT_number 216
_space_group_name_Hall 'F -4 2 3'
loop_
_atom_site_label
_atom_site_fract_x
_atom_site_fract_y
_atom_site_fract_z
Mg1 0.000 0.000 0.000
Ag1 0.250 0.250 0.250
Hg1 0.000 0.000 0.500
Pt1 0.250 0.250 0.750

---

No. 2
# MgAg2HgPt PBE-GGA relaxed
# * calculated volume: 27.417 A^3/atom
# * uncorrected energy: -11.50 eV/cell
data_MgAg2HgPt
_cell_length_a 5.160
_cell_length_b 5.160
_cell_length_c 5.149
_cell_angle_alpha 90.00
_cell_angle_beta 90.00
_cell_angle_gamma 90.00
_space_group_name_H-M_alt 'P 4/m m m'
_space_group_IT_number 123
_space_group_name_Hall '-P 4 2'
loop_
_atom_site_label
_atom_site_fract_x
_atom_site_fract_y
_atom_site_fract_z
Mg1 0.000 0.000 0.000
Ag1 0.000 0.500 0.500
Hg1 0.500 0.500 0.000
Pt1 0.500 0.500 0.500

---

No. 3
# PuMg2AgHg4 PBE-GGA relaxed
# * calculated volume: 22.921 A^3/atom
# * uncorrected energy: -67.64 eV/cell
data_PuMg2AgHg4
_cell_length_a 4.8725
_cell_length_b 4.8725
_cell_length_c 26.7551
_cell_angle_alpha 90.00
_cell_angle_beta 90.00
_cell_angle_gamma 120.00
_space_group_name_H-M_alt 'R -3 m'
_space_group_IT_number 166
_space_group_name_Hall '-R 3 2"'
loop_
_atom_site_label
_atom_site_fract_x
_atom_site_fract_y
_atom_site_fract_z
Pu1 0.0000 0.0000 0.0000
Mg1 0.0000 0.0000 0.2418
Ag1 0.0000 0.0000 0.5000
Hg1 0.0000 0.0000 0.1247
Hg2 0.0000 0.0000 0.3861

---

No. 4
# Mg5AgHg2Rh2 PBE-GGA relaxed
# * calculated volume: 19.242 A^3/atom
# * uncorrected energy: -57.14 eV/cell
data_Mg5AgHg2Rh2
_cell_length_a 9.957
_cell_length_b 9.957
_cell_length_c 3.882
_cell_angle_alpha 90.00
_cell_angle_beta 90.00
_cell_angle_gamma 90.00
_space_group_name_H-M_alt 'P 4/m b m'
_space_group_IT_number 127
_space_group_name_Hall '-P 4 2ab'
loop_
_atom_site_label
_atom_site_fract_x
_atom_site_fract_y
_atom_site_fract_z
Mg1 0.000 0.500 0.000
Mg2 0.082 0.202 0.000
Ag1 0.000 0.000 0.500
Hg1 0.172 0.672 0.500
Rh1 0.122 0.378 0.500